A plane-wave DFT calculation with GGA-PBE was carried out for a geometry-optimized Li4SmMg8 structure.

Unit cell a=7.7982 b=7.7982 c=7.7982 alpha=96.86 beta=96.86 gamma=139.55
Closest atoms and distances in Å follow each position.
Positions (direct):
Li 0.0000 0.0000 0.5000  2 Li 2.70, 4 Mg 2.94
Li 0.0000 0.5000 0.0000  2 Li 2.70, 4 Mg 2.94
Li 0.5000 0.0000 0.0000  2 Li 2.70, 4 Mg 2.94
Li 0.5000 0.5000 0.5000  2 Li 2.70, 4 Mg 2.94
Sm 0.0000 0.0000 0.0000  12 Mg 3.48-3.65
Mg 0.0000 0.3528 0.3528  5 Mg 3.05-3.34, 4 Li 3.11
Mg 0.0000 0.6472 0.6472  5 Mg 3.05-3.34, 4 Li 3.11
Mg 0.2875 0.5000 0.7875  4 Li 2.94, 4 Mg 3.06-3.11
Mg 0.3528 0.0000 0.3528  5 Mg 3.05-3.34, 4 Li 3.11
Mg 0.5000 0.2875 0.7875  4 Li 2.94, 4 Mg 3.06-3.11
Mg 0.5000 0.7125 0.2125  4 Li 2.94, 4 Mg 3.06-3.11
Mg 0.6472 0.0000 0.6472  5 Mg 3.05-3.34, 4 Li 3.11
Mg 0.7125 0.5000 0.2125  4 Li 2.94, 4 Mg 3.06-3.11

Properties
The value obtained for the calculated total energy is -25.9 eV/cell.

A plane-wave DFT calculation with GGA-PBE was carried out for a geometry-optimized Rb2UNi2S6 structure.

Unit cell a=7.1634 b=7.1634 c=7.0864 alpha=90.00 beta=90.00 gamma=120.00
Closest atoms and distances in Å follow each position.
Positions (direct):
Rb 0.3333 0.6667 0.2711  2 Ni 3.50-3.58, 6 S 3.60
Rb 0.6667 0.3333 0.7289  2 Ni 3.50-3.58, 6 S 3.60
U 0.0000 0.0000 0.0000  6 S 2.55
Ni 0.3333 0.6667 0.7769  3 S 2.09
Ni 0.6667 0.3333 0.2231  3 S 2.09
S 0.1651 0.3303 0.7865  1 Ni 2.09
S 0.1651 0.8349 0.7865  1 Ni 2.09
S 0.3303 0.1651 0.2135  1 Ni 2.09
S 0.6697 0.8349 0.7865  1 Ni 2.09
S 0.8349 0.1651 0.2135  1 Ni 2.09
S 0.8349 0.6697 0.2135  1 Ni 2.09

Properties
The value obtained for the calculated total energy is -58.2 eV/cell.

A plane-wave DFT calculation with GGA-PBE was carried out for a geometry-optimized MgV structure.

Unit cell a=2.9333 b=14.6376 c=4.9994 alpha=90.00 beta=90.00 gamma=90.00
Closest atoms and distances in Å follow each position.
Positions (direct):
Mg 0.2500 0.0696 0.1852  5 V 2.88-3.03, 6 Mg 2.93-3.12
Mg 0.2500 0.4304 0.1852  5 V 2.88-3.03, 6 Mg 2.93-3.12
Mg 0.2500 0.7500 0.8269  8 V 2.89-3.14, 6 Mg 2.93-3.02
Mg 0.7500 0.2500 0.1731  8 V 2.89-3.14, 6 Mg 2.93-3.02
Mg 0.7500 0.5696 0.8148  5 V 2.88-3.03, 6 Mg 2.93-3.12
Mg 0.7500 0.9304 0.8148  5 V 2.88-3.03, 6 Mg 2.93-3.12
V 0.2500 0.2500 0.6741  4 V 2.38
V 0.2500 0.6218 0.3234  2 V 2.38
V 0.2500 0.8782 0.3234  2 V 2.38
V 0.7500 0.1218 0.6766  2 V 2.38
V 0.7500 0.3782 0.6766  2 V 2.38
V 0.7500 0.7500 0.3259  4 V 2.38

Properties
The value obtained for the calculated total energy is -59.2 eV/cell.

A plane-wave DFT calculation with GGA-PBE was carried out for a geometry-optimized NaTa2MnPb structure.

Unit cell a=4.6743 b=4.6743 c=5.1047 alpha=90.00 beta=90.00 gamma=90.00
Closest atoms and distances in Å follow each position.
Positions (direct):
Na 0.0000 0.0000 0.0000  4 Pb 3.31, 8 Ta 3.46
Ta 0.0000 0.5000 0.5000  2 Mn 2.34
Ta 0.5000 0.0000 0.5000  2 Mn 2.34
Mn 0.5000 0.5000 0.5000  4 Ta 2.34, 2 Pb 2.55
Pb 0.5000 0.5000 0.0000  2 Mn 2.55

Properties
The value obtained for the calculated total energy is -33.3 eV/cell.

A plane-wave DFT calculation with GGA-PBE was carried out for a geometry-optimized MgBe4Rh structure.

Unit cell a=4.4254 b=4.4254 c=4.4254 alpha=60.00 beta=60.00 gamma=60.00
Closest atoms and distances in Å follow each position.
Positions (direct):
Mg 0.0000 0.0000 0.0000  12 Be 2.60, 4 Rh 2.71
Be 0.1290 0.6237 0.6237  6 Be 2.19-2.24
Be 0.6237 0.1290 0.6237  6 Be 2.19-2.24
Be 0.6237 0.6237 0.1290  6 Be 2.19-2.24
Be 0.6237 0.6237 0.6237  6 Be 2.19-2.24
Rh 0.2500 0.2500 0.2500  12 Be 2.59, 4 Mg 2.71

Properties
The value obtained for the calculated total energy is -25.9 eV/cell.

A plane-wave DFT calculation with GGA-PBE was carried out for a geometry-optimized CrRh3S structure.

Unit cell a=4.3417 b=4.3417 c=4.3417 alpha=90.00 beta=90.00 gamma=90.00
Closest atoms and distances in Å follow each position.
Positions (direct):
Cr 0.0000 0.0000 0.0000  12 Rh 3.07
Rh 0.0000 0.5000 0.5000  2 S 2.17
Rh 0.5000 0.0000 0.5000  2 S 2.17
Rh 0.5000 0.5000 0.0000  2 S 2.17
S 0.5000 0.5000 0.5000  6 Rh 2.17

Properties
The calculation puts the energy relative to the lowest polymorph listed for this composition at 0.0000 eV/atom.

Across the entries above, DOS(E_F) takes the values 0.554; 0.931; 0.927; 1.085; 0.482; 2.379 states/eV per atom, respectively.
Across the entries above, calculated volume takes the values 288.7; 314.9; 35.8; 111.5; 61.3; 81.8 Å³/f.u., respectively.